# LaNdRhAu

A relaxed structure of LaNdRhAu (PBE, Alexandria via LeMat-Bulk).

Structure (CIF):
```
data_LaNdRhAu
_symmetry_space_group_name_H-M 'F -4 3 m'
_symmetry_Int_Tables_number 216
_symmetry_space_group_name_Hall 'F -4 2 3'
_cell_length_a 7.326
_cell_length_b 7.326
_cell_length_c 7.326
_cell_angle_alpha 90.00
_cell_angle_beta 90.00
_cell_angle_gamma 90.00
loop_
_atom_site_label
_atom_site_fract_x
_atom_site_fract_y
_atom_site_fract_z
_atom_site_occupancy
La1 0.000 0.000 0.000 1
Nd1 0.000 0.000 0.500 1
Rh1 0.250 0.250 0.750 1
Au1 0.250 0.250 0.250 1
```

Energy of formation from the pure elements   -0.6903 eV per atom
Raw total energy   -5.771 eV/atom
Energy above the lowest structure with this stoichiometry   84 meV/atom